# 1
# In2AgAu2 (PBE, relaxed)
data_In2AgAu2
_symmetry_space_group_name_H-M 'P -1'
_symmetry_Int_Tables_number 2
_cell_length_a 3.596
_cell_length_b 6.726
_cell_length_c 9.351
_cell_angle_alpha 96.45
_cell_angle_beta 90.34
_cell_angle_gamma 105.23
loop_
_symmetry_equiv_pos_as_xyz
'x,y,z'
'-x,-y,-z'
loop_
_atom_site_label
_atom_site_type_symbol
_atom_site_fract_x
_atom_site_fract_y
_atom_site_fract_z
In1 In 0.138 0.258 0.027
In2 In 0.138 0.264 0.521
Ag1 Ag 0.322 0.653 0.210
Au1 Au 0.009 0.009 0.750
Au2 Au 0.330 0.660 0.707
# - DFT formation energy (eV per formula unit) = -0.45
# - calculated volume (Å³/cell) = 216.7
# - spin magnetization (μB per formula unit) = 0.00
# - polymorph energy (0 for the lowest one) (meV per atom) = 63.1
# - E_tot (eV per atom) = -3.066

=====

# 2
# LaMgCl (PBE, relaxed)
data_LaMgCl
_symmetry_space_group_name_H-M 'I 4 m m'
_symmetry_Int_Tables_number 107
_symmetry_space_group_name_Hall 'I 4 -2'
_cell_length_a 3.558
_cell_length_b 3.558
_cell_length_c 15.821
_cell_angle_alpha 90.00
_cell_angle_beta 90.00
_cell_angle_gamma 90.00
loop_
_atom_site_label
_atom_site_type_symbol
_atom_site_fract_x
_atom_site_fract_y
_atom_site_fract_z
La1 La 0.000 0.000 0.000
Mg1 Mg 0.000 0.000 0.657
Cl1 Cl 0.000 0.000 0.396
# - calculated volume (Å³/cell) = 200.3
# - ΔE_f (raw) (eV per atom) = -0.796
# - spin magnetization (μB per formula unit) = 0.66
# - polymorph energy (0 for the lowest one) (meV per atom) = 205.5
# - E_tot (eV per atom) = -3.585

=====

Which of these has the highest polymorph energy (0 for the lowest one)? LaMgCl